[1]
# Y2CuI2

A geometry-optimized Y2CuI2 structure (PBE, Alexandria via LeMat-Bulk).

Cell: 5.2934 5.2934 12.2451 Å, 90.00 90.00 90.00°
Space group I4/mmm (No. 139)
Unique sites:
Y (0.0000, 0.5000, 0.2500) x4
Cu (0.0000, 0.0000, 0.0000) x2
I (0.0000, 0.0000, 0.3626) x4

[2]
# Y3CuI3

A geometry-optimized Y3CuI3 structure (PBE, Alexandria via LeMat-Bulk).

Cell: 12.1186 12.1186 12.1186 Å, 90.00 90.00 90.00°
Space group I4_132 (No. 214)
Unique sites:
Y (0.1041, 0.3541, 0.1250) x24
Cu (0.1250, 0.1250, 0.1250) x8
I (0.1163, 0.1337, 0.6250) x24

[3]
# YCu2I

A geometry-optimized YCu2I structure (PBE, Alexandria via LeMat-Bulk).

Cell: 7.8763 7.8763 5.8472 Å, 90.00 90.00 90.00°
Space group I-42d (No. 122)
Unique sites:
Y (0.0000, 0.0000, 0.0000) x4
Cu (0.2372, 0.2500, 0.6250) x8
I (0.0000, 0.0000, 0.5000) x4

[4]
# YCu3I

A geometry-optimized YCu3I structure (PBE, Alexandria via LeMat-Bulk).

Cell: 4.9282 4.9282 4.9282 Å, 90.00 90.00 90.00°
Space group Pm-3m (No. 221)
Unique sites:
Y (0.0000, 0.0000, 0.0000) x1
Cu (0.0000, 0.5000, 0.5000) x3
I (0.5000, 0.5000, 0.5000) x1

[5]
# Y2CuI

A geometry-optimized Y2CuI structure (PBE, Alexandria via LeMat-Bulk).

Cell: 7.8645 7.8645 7.1640 Å, 90.00 90.00 90.00°
Space group I-42d (No. 122)
Unique sites:
Y (0.2144, 0.7500, 0.1250) x8
Cu (0.0000, 0.0000, 0.0000) x4
I (0.0000, 0.0000, 0.5000) x4

[6]
# YZrCuI2

A geometry-optimized YZrCuI2 structure (PBE, Alexandria via LeMat-Bulk).

Cell: 5.5267 5.5267 6.0725 Å, 90.00 90.00 90.00°
Space group P4/mmm (No. 123)
Unique sites:
Y (0.0000, 0.0000, 0.0000) x1
Zr (0.0000, 0.0000, 0.5000) x1
Cu (0.5000, 0.5000, 0.0000) x1
I (0.0000, 0.5000, 0.5000) x2

Here are the calculated formation energy without anion corrections numbers, same order: -35; -858; 38; 818; -150; 456 (meV per atom).